DFT (PBE) results for crystalline K4BrCl2 at its relaxed geometry.

Unit cell a=4.5802 b=4.5802 c=46.2253 alpha=90.00 beta=90.00 gamma=120.00
Space group R-3m (No. 166, hexagonal axes)
Asymmetric unit:
1 K 0.0000 0.0000 0.1228
2 K 0.0000 0.0000 0.2901
3 Br 0.0000 0.0000 0.0000
4 Cl 0.0000 0.0000 0.4161

Results
- Uncorrected formation energy: -1.591 eV/atom